Compound: Mg3CdIr
Source: Alexandria via LeMat-Bulk
Functional: PBE
Structure: optimized geometry

a = 4.993 Å, b = 4.993 Å, c = 4.993 Å
α = 90.00°, β = 90.00°, γ = 90.00°
Positions (direct):
Mg  0.000  0.500  0.000
Mg  0.000  0.000  0.500
Mg  0.500  0.000  0.000
Ir  0.000  0.000  0.000
Cd  0.500  0.500  0.500

Results
The value obtained for the polymorph energy (0 for the lowest one) is 0.257 eV/atom. The calculation puts the density of states at the Fermi level at 1.8 states/eV/cell. The energy of formation from the pure elements is 0.18 eV per formula unit. The total energy is -2.8763 eV per atom.